Below is a relaxed structure of Mn3Ag4Te8, with properties calculated at the PBE level.

Lattice parameters (Å, degrees): 8.1280 8.1280 8.4979 61.43 61.43 60.00
Last column: nearest neighbours and their distance in Å.
Fractional coordinates of all 15 atoms:
Te1 0.2364 0.2364 0.2910  1 Ag 2.73, 3 Mn 2.77
Te2 0.7880 0.2454 0.7211  2 Mn 2.74, 3 Ag 2.86-2.99
Mn1 0.0000 0.5000 0.5000  6 Te 2.74-2.77
Te3 0.2120 0.7546 0.2789  2 Mn 2.74, 3 Ag 2.86-2.99
Ag1 0.5000 0.5000 0.5000  2 Ag 2.88, 6 Te 2.99
Ag2 0.0000 0.0000 0.0000  6 Te 2.92
Ag3 0.3647 0.3647 0.9058  4 Te 2.73-2.86, 1 Ag 2.88
Te4 0.7637 0.7637 0.7090  1 Ag 2.73, 3 Mn 2.77
Te5 0.2454 0.2454 0.7211  2 Mn 2.74, 3 Ag 2.86-2.99
Te6 0.7546 0.2120 0.2789  2 Mn 2.74, 3 Ag 2.86-2.99
Te7 0.2454 0.7880 0.7211  2 Mn 2.74, 3 Ag 2.86-2.99
Mn2 0.5000 0.0000 0.5000  6 Te 2.74-2.77
Mn3 0.0000 0.0000 0.5000  6 Te 2.74-2.77
Te8 0.7546 0.7546 0.2789  2 Mn 2.74, 3 Ag 2.86-2.99
Ag4 0.6353 0.6353 0.0942  4 Te 2.73-2.86, 1 Ag 2.88

Results
Density of states at the Fermi level in states/eV/f.u.: 7.553
Formation energy (no corrections) in eV/atom: -0.1081
Space group: No. 166
Magnetization in μB per formula unit: 10.17

Below is a relaxed structure of MnCoSb, with properties calculated at the PBE level.

Lattice parameters (Å, degrees): 8.1655 8.1655 3.5369 90.00 90.00 154.68
Last column: nearest neighbours and their distance in Å.
Fractional coordinates of all 6 atoms:
Sb1 0.3302 0.6698 0.2500  2 Co 2.62, 2 Mn 2.66
Mn1 0.5453 0.4547 0.2500  2 Mn 2.28, 6 Co 2.34-2.52
Co1 0.9505 0.0495 0.2500  6 Mn 2.34-2.52, 2 Co 2.37, 2 Sb 2.62
Sb2 0.6698 0.3302 0.7500  2 Co 2.62, 2 Mn 2.66
Co2 0.0495 0.9505 0.7500  6 Mn 2.34-2.52, 2 Co 2.37, 2 Sb 2.62
Mn2 0.4547 0.5453 0.7500  2 Mn 2.28, 6 Co 2.34-2.52

Results
Density of states at the Fermi level in states/eV/f.u.: 2.395
Formation energy (no corrections) in eV/atom: 0.1265
Space group: No. 63
Magnetization in μB per formula unit: 0.01

Question: Number 2 is which compound?
Answer: MnCoSb